Entry from Alexandria: a geometry-optimized Na4Er3VO8 structure (GGA+U).

Summary:
E ... -107.5 eV/f.u.
Total magnetization ... 2.00 μB per formula unit
DOS(E_F) ... 0.00 states/eV/cell

abc: 6.6219 6.6219 16.6318
angles: 90.00 90.00 120.00
Space group R-3m (No. 166, hexagonal axes)
Asymmetric unit:
Na (0.0000, 0.0000, 0.0000) (multiplicity 3)
Na (0.0000, 0.5000, 0.0000) (multiplicity 9)
Er (0.0000, 0.5000, 0.5000) (multiplicity 9)
V (0.0000, 0.0000, 0.5000) (multiplicity 3)
O (0.0000, 0.0000, 0.2370) (multiplicity 6)
O (0.0151, 0.5076, 0.2356) (multiplicity 18)